NaCaFe2Bi | meta-GGA SCAN | single point on PBEsol structure

Computed properties:
calculated volume	146.6	Å³/f.u.
final energy	-124.62	eV per cell
magnetization	1.14	μB/atom
E_form	0.82	eV/atom

```
data_NaCaFe2Bi
_chemical_formula_sum 'Na1 Ca1 Fe2 Bi1'
_cell_length_a 5.005
_cell_length_b 5.005
_cell_length_c 5.851
_cell_angle_alpha 90.00
_cell_angle_beta 90.00
_cell_angle_gamma 90.00
_symmetry_space_group_name_H-M 'P 4/m m m'
_symmetry_Int_Tables_number 123
_symmetry_space_group_name_Hall '-P 4 2'
loop_
_atom_site_label
_atom_site_type_symbol
_atom_site_fract_x
_atom_site_fract_y
_atom_site_fract_z
Na1 Na 0.000 0.000 0.000
Ca1 Ca 0.500 0.500 0.000
Fe1 Fe 0.000 0.500 0.500
Bi1 Bi 0.500 0.500 0.500
```


CaFeBi2O | meta-GGA SCAN | single point on PBEsol structure

Computed properties:
E_form (uncorrected)	0.399	eV/atom
calculated volume	136.2	Å³/f.u.
final energy	-189.19	eV per cell
magnetization	0.76	μB/atom

```
data_CaFeBi2O
_chemical_formula_sum 'Ca1 Fe1 Bi2 O1'
_cell_length_a 5.888
_cell_length_b 5.888
_cell_length_c 3.928
_cell_angle_alpha 90.00
_cell_angle_beta 90.00
_cell_angle_gamma 90.00
_symmetry_space_group_name_H-M 'P 4/m m m'
_symmetry_Int_Tables_number 123
_symmetry_space_group_name_Hall '-P 4 2'
loop_
_atom_site_label
_atom_site_type_symbol
_atom_site_fract_x
_atom_site_fract_y
_atom_site_fract_z
Ca1 Ca 0.000 0.000 0.000
Fe1 Fe 0.500 0.500 0.500
Bi1 Bi 0.000 0.500 0.000
O1 O 0.000 0.000 0.500
```